A relaxed KScCd2Pb crystal, computed with PBE-GGA.

Structure (CIF):
```
data_KScCd2Pb
_chemical_formula_sum 'K1 Sc1 Cd2 Pb1'
_space_group_name_H-M_alt 'P 1'
_space_group_IT_number 1
_space_group_name_Hall 'P 1'
_cell_length_a 5.526
_cell_length_b 5.991
_cell_length_c 5.526
_cell_angle_alpha 90.00
_cell_angle_beta 90.00
_cell_angle_gamma 90.00
loop_
_atom_site_label
_atom_site_fract_x
_atom_site_fract_y
_atom_site_fract_z
Pb1 0.000 0.500 0.000
K1 0.000 0.000 0.000
Sc1 0.500 0.500 0.500
Cd1 0.500 0.000 0.000
Cd2 0.000 0.000 0.500
```

Calculated values
Raw total energy   -1.65 eV/atom
Energy of formation from the pure elements   0.946 eV/atom
Fermi-level density of states   0.89 states/eV/atom
Magnetic moment   0.00 μB/cell


A relaxed KCdSiPb2 crystal, computed with PBE-GGA.

Structure (CIF):
```
data_KCdSiPb2
_chemical_formula_sum 'K1 Cd1 Si1 Pb2'
_space_group_name_H-M_alt 'P 1'
_space_group_IT_number 1
_space_group_name_Hall 'P 1'
_cell_length_a 5.557
_cell_length_b 5.411
_cell_length_c 5.557
_cell_angle_alpha 90.00
_cell_angle_beta 90.00
_cell_angle_gamma 90.00
loop_
_atom_site_label
_atom_site_fract_x
_atom_site_fract_y
_atom_site_fract_z
Pb1 0.000 0.000 0.500
K1 0.500 0.500 0.500
Cd1 0.000 0.500 0.000
Si1 0.000 0.000 0.000
Pb2 0.500 0.000 0.000
```

Calculated values
Raw total energy   -2.71 eV/atom
Fermi-level density of states   0.72 states/eV/atom
Magnetic moment   0.00 μB/cell
Formation energy without anion corrections   0.265 eV/atom


A relaxed KCd2SnPb2 crystal, computed with PBE-GGA.

Structure (CIF):
```
data_KCd2SnPb2
_chemical_formula_sum 'K2 Cd4 Sn2 Pb4'
_space_group_name_H-M_alt 'P 1'
_space_group_IT_number 1
_space_group_name_Hall 'P 1'
_cell_length_a 5.417
_cell_length_b 9.522
_cell_length_c 6.873
_cell_angle_alpha 90.00
_cell_angle_beta 90.00
_cell_angle_gamma 90.00
loop_
_atom_site_label
_atom_site_fract_x
_atom_site_fract_y
_atom_site_fract_z
Sn1 0.500 0.500 0.500
Pb1 0.500 0.838 0.229
Cd1 0.500 0.169 0.241
Pb2 0.500 0.162 0.771
Cd2 0.000 0.669 0.259
K1 0.000 0.000 0.500
Cd3 0.500 0.831 0.759
Cd4 0.000 0.331 0.741
Pb3 0.000 0.338 0.271
K2 0.500 0.500 0.000
Sn2 0.000 0.000 0.000
Pb4 0.000 0.662 0.729
```

Calculated values
Raw total energy   -2.38 eV/atom
Energy of formation from the pure elements   0.013 eV/atom
Fermi-level density of states   0.49 states/eV/atom
Magnetic moment   0.00 μB/cell


A relaxed K2CdSn4Pb3 crystal, computed with PBE-GGA.

Structure (CIF):
```
data_K2CdSn4Pb3
_chemical_formula_sum 'K2 Cd1 Sn4 Pb3'
_space_group_name_H-M_alt 'P 1'
_space_group_IT_number 1
_space_group_name_Hall 'P 1'
_cell_length_a 5.136
_cell_length_b 5.136
_cell_length_c 13.312
_cell_angle_alpha 90.00
_cell_angle_beta 90.00
_cell_angle_gamma 90.00
loop_
_atom_site_label
_atom_site_fract_x
_atom_site_fract_y
_atom_site_fract_z
Sn1 0.000 0.500 0.373
Sn2 0.500 0.000 0.627
Pb1 0.000 0.000 0.500
Sn3 0.500 0.500 0.000
Pb2 0.000 0.500 0.136
Pb3 0.500 0.000 0.864
Sn4 0.000 0.000 0.000
K1 0.000 0.500 0.742
K2 0.500 0.000 0.258
Cd1 0.500 0.500 0.500
```

Calculated values
Raw total energy   -3.11 eV/atom
Energy of formation from the pure elements   -0.089 eV/atom
Fermi-level density of states   0.37 states/eV/atom
Magnetic moment   0.00 μB/cell


A relaxed K2CdSn3Pb4 crystal, computed with PBE-GGA.

Structure (CIF):
```
data_K2CdSn3Pb4
_chemical_formula_sum 'K2 Cd1 Sn3 Pb4'
_space_group_name_H-M_alt 'P 1'
_space_group_IT_number 1
_space_group_name_Hall 'P 1'
_cell_length_a 5.178
_cell_length_b 5.178
_cell_length_c 13.314
_cell_angle_alpha 90.00
_cell_angle_beta 90.00
_cell_angle_gamma 90.00
loop_
_atom_site_label
_atom_site_fract_x
_atom_site_fract_y
_atom_site_fract_z
Sn1 0.000 0.500 0.134
K1 0.000 0.500 0.744
Cd1 0.500 0.500 0.500
K2 0.500 0.000 0.256
Pb1 0.000 0.000 0.000
Pb2 0.500 0.500 0.000
Pb3 0.500 0.000 0.630
Sn2 0.000 0.000 0.500
Sn3 0.500 0.000 0.866
Pb4 0.000 0.500 0.370
```

Calculated values
Raw total energy   -3.08 eV/atom
Energy of formation from the pure elements   -0.086 eV/atom
Fermi-level density of states   0.46 states/eV/atom
Magnetic moment   0.00 μB/cell


A relaxed K2Cd3SnPb4 crystal, computed with PBE-GGA.

Structure (CIF):
```
data_K2Cd3SnPb4
_chemical_formula_sum 'K2 Cd3 Sn1 Pb4'
_space_group_name_H-M_alt 'P 1'
_space_group_IT_number 1
_space_group_name_Hall 'P 1'
_cell_length_a 5.058
_cell_length_b 5.058
_cell_length_c 13.051
_cell_angle_alpha 90.00
_cell_angle_beta 90.00
_cell_angle_gamma 90.00
loop_
_atom_site_label
_atom_site_fract_x
_atom_site_fract_y
_atom_site_fract_z
Pb1 0.500 0.500 0.000
K1 0.000 0.500 0.750
Cd1 0.500 0.000 0.864
Pb2 0.000 0.000 0.000
Pb3 0.500 0.000 0.637
Pb4 0.000 0.500 0.363
K2 0.500 0.000 0.250
Cd2 0.000 0.000 0.500
Sn1 0.500 0.500 0.500
Cd3 0.000 0.500 0.136
```

Calculated values
Raw total energy   -2.47 eV/atom
Energy of formation from the pure elements   -0.097 eV/atom
Fermi-level density of states   0.21 states/eV/atom
Magnetic moment   0.00 μB/cell


A relaxed KCd2Sn2Pb crystal, computed with PBE-GGA.

Structure (CIF):
```
data_KCd2Sn2Pb
_chemical_formula_sum 'K1 Cd2 Sn2 Pb1'
_space_group_name_H-M_alt 'P 1'
_space_group_IT_number 1
_space_group_name_Hall 'P 1'
_cell_length_a 5.206
_cell_length_b 5.206
_cell_length_c 7.737
_cell_angle_alpha 90.00
_cell_angle_beta 90.00
_cell_angle_gamma 120.00
loop_
_atom_site_label
_atom_site_fract_x
_atom_site_fract_y
_atom_site_fract_z
Pb1 0.000 0.000 0.500
Cd1 0.667 0.333 0.296
Sn1 0.333 0.667 0.277
K1 0.000 0.000 0.000
Sn2 0.667 0.333 0.723
Cd2 0.333 0.667 0.704
```

Calculated values
Raw total energy   -2.49 eV/atom
Energy of formation from the pure elements   -0.050 eV/atom
Fermi-level density of states   0.52 states/eV/atom
Magnetic moment   0.00 μB/cell


A relaxed KSrCdPb crystal, computed with PBE-GGA.

Structure (CIF):
```
data_KSrCdPb
_chemical_formula_sum 'K1 Sr1 Cd1 Pb1'
_space_group_name_H-M_alt 'P 1'
_space_group_IT_number 1
_space_group_name_Hall 'P 1'
_cell_length_a 5.835
_cell_length_b 5.835
_cell_length_c 5.835
_cell_angle_alpha 60.00
_cell_angle_beta 60.00
_cell_angle_gamma 60.00
loop_
_atom_site_label
_atom_site_fract_x
_atom_site_fract_y
_atom_site_fract_z
Sr1 0.750 0.750 0.750
Pb1 0.000 0.000 0.000
K1 0.250 0.250 0.250
Cd1 0.500 0.500 0.500
```

Calculated values
Raw total energy   -2.06 eV/atom
Energy of formation from the pure elements   -0.208 eV/atom
Fermi-level density of states   1.05 states/eV/atom
Magnetic moment   0.00 μB/cell


Please write out number 6 again, unchanged.
A relaxed K2Cd3SnPb4 crystal, computed with PBE-GGA.

Structure (CIF):
```
data_K2Cd3SnPb4
_chemical_formula_sum 'K2 Cd3 Sn1 Pb4'
_space_group_name_H-M_alt 'P 1'
_space_group_IT_number 1
_space_group_name_Hall 'P 1'
_cell_length_a 5.058
_cell_length_b 5.058
_cell_length_c 13.051
_cell_angle_alpha 90.00
_cell_angle_beta 90.00
_cell_angle_gamma 90.00
loop_
_atom_site_label
_atom_site_fract_x
_atom_site_fract_y
_atom_site_fract_z
Pb1 0.500 0.500 0.000
K1 0.000 0.500 0.750
Cd1 0.500 0.000 0.864
Pb2 0.000 0.000 0.000
Pb3 0.500 0.000 0.637
Pb4 0.000 0.500 0.363
K2 0.500 0.000 0.250
Cd2 0.000 0.000 0.500
Sn1 0.500 0.500 0.500
Cd3 0.000 0.500 0.136
```

Calculated values
Raw total energy   -2.47 eV/atom
Energy of formation from the pure elements   -0.097 eV/atom
Fermi-level density of states   0.21 states/eV/atom
Magnetic moment   0.00 μB/cell